First-principles (GGA-PBEsol) data for a geometry-optimized SrHfPtRh2 structure, as listed in Alexandria.

Output
Energy of formation from the pure elements = 2.0037 eV/atom
Mass density = 10.42 g/cm³
Crystal system = tetragonal
Fermi-level density of states = 4.74 states/eV per cell
E_tot = -5.11 eV/atom
SG = No. 123

Unit cell a=4.5813 b=4.5813 c=5.0664 alpha=90.00 beta=90.00 gamma=90.00
Positions (direct):
Sr 0.0000 0.0000 0.0000
Hf 0.0000 0.0000 0.5000
Pt 0.5000 0.5000 0.5000
Rh 0.0000 0.5000 0.0000
Rh 0.5000 0.0000 0.0000

***

First-principles (GGA-PBEsol) data for a geometry-optimized Hf3RuPt structure, as listed in Alexandria.

Output
Energy of formation from the pure elements = 0.7553 eV/atom
Mass density = 11.76 g/cm³
Crystal system = cubic
Fermi-level density of states = 7.64 states/eV per cell
E_tot = -8.97 eV/atom
SG = No. 221

Unit cell a=4.8972 b=4.8972 c=4.8972 alpha=90.00 beta=90.00 gamma=90.00
Positions (direct):
Hf 0.0000 0.0000 0.5000
Hf 0.0000 0.5000 0.0000
Hf 0.5000 0.0000 0.0000
Ru 0.5000 0.5000 0.5000
Pt 0.0000 0.0000 0.0000

***

First-principles (GGA-PBEsol) data for a geometry-optimized HfPtS2 structure, as listed in Alexandria.

Output
Mass density = 9.40 g/cm³
Crystal system = trigonal
E_form (uncorrected) = -220 meV/atom
Fermi-level density of states = 8.90 states/eV per cell
E_tot = -6.78 eV/atom
SG = No. 166

Unit cell a=3.4166 b=3.4166 c=22.9379 alpha=90.00 beta=90.00 gamma=120.00
Positions (direct):
Hf 0.0000 0.0000 0.0000
Hf 0.3333 0.6667 0.6667
Hf 0.6667 0.3333 0.3333
Pt 0.0000 0.0000 0.5000
Pt 0.3333 0.6667 0.1667
Pt 0.6667 0.3333 0.8333
S 0.0000 0.0000 0.1082
S 0.0000 0.0000 0.8918
S 0.3333 0.6667 0.5585
S 0.3333 0.6667 0.7748
S 0.6667 0.3333 0.2252
S 0.6667 0.3333 0.4415

***

First-principles (GGA-PBEsol) data for a geometry-optimized Hf2SbPt2 structure, as listed in Alexandria.

Output
Mass density = 15.23 g/cm³
Crystal system = tetragonal
E_form (uncorrected) = -874 meV/atom
Fermi-level density of states = 4.27 states/eV per cell
E_tot = -8.77 eV/atom
SG = No. 127

Unit cell a=7.3496 b=7.3496 c=3.5081 alpha=90.00 beta=90.00 gamma=90.00
Positions (direct):
Hf 0.1652 0.3348 0.0000
Hf 0.3348 0.8348 0.0000
Hf 0.6652 0.1652 0.0000
Hf 0.8348 0.6652 0.0000
Sb 0.0000 0.0000 0.5000
Sb 0.5000 0.5000 0.5000
Pt 0.1302 0.6302 0.5000
Pt 0.3698 0.1302 0.5000
Pt 0.6302 0.8698 0.5000
Pt 0.8698 0.3698 0.5000

***

First-principles (GGA-PBEsol) data for a geometry-optimized HfSb2Pt structure, as listed in Alexandria.

Output
Mass density = 11.68 g/cm³
Crystal system = tetragonal
E_form (uncorrected) = -171 meV/atom
Fermi-level density of states = 7.57 states/eV per cell
E_tot = -6.82 eV/atom
SG = No. 122

Unit cell a=7.5809 b=7.5809 c=6.1061 alpha=90.00 beta=90.00 gamma=90.00
Positions (direct):
Hf 0.0000 0.0000 0.0000
Hf 0.0000 0.5000 0.2500
Hf 0.5000 0.0000 0.7500
Hf 0.5000 0.5000 0.5000
Sb 0.2159 0.7500 0.6250
Sb 0.2500 0.2159 0.3750
Sb 0.2500 0.2841 0.8750
Sb 0.2841 0.7500 0.1250
Sb 0.7159 0.2500 0.1250
Sb 0.7500 0.7159 0.8750
Sb 0.7500 0.7841 0.3750
Sb 0.7841 0.2500 0.6250
Pt 0.0000 0.0000 0.5000
Pt 0.0000 0.5000 0.7500
Pt 0.5000 0.0000 0.2500
Pt 0.5000 0.5000 0.0000

***

First-principles (GGA-PBEsol) data for a geometry-optimized HfSc2Pt structure, as listed in Alexandria.

Output
Energy of formation from the pure elements = -0.3205 eV/atom
Mass density = 10.17 g/cm³
Crystal system = cubic
Fermi-level density of states = 21.08 states/eV per cell
E_tot = -7.99 eV/atom
SG = No. 225

Unit cell a=6.7138 b=6.7138 c=6.7138 alpha=90.00 beta=90.00 gamma=90.00
Positions (direct):
Hf 0.0000 0.0000 0.0000
Hf 0.0000 0.5000 0.5000
Hf 0.5000 0.0000 0.5000
Hf 0.5000 0.5000 0.0000
Sc 0.2500 0.2500 0.2500
Sc 0.2500 0.2500 0.7500
Sc 0.2500 0.7500 0.2500
Sc 0.2500 0.7500 0.7500
Sc 0.7500 0.2500 0.2500
Sc 0.7500 0.2500 0.7500
Sc 0.7500 0.7500 0.2500
Sc 0.7500 0.7500 0.7500
Pt 0.0000 0.0000 0.5000
Pt 0.0000 0.5000 0.0000
Pt 0.5000 0.0000 0.0000
Pt 0.5000 0.5000 0.5000

***

First-principles (GGA-PBEsol) data for a geometry-optimized HfSc2Pt2 structure, as listed in Alexandria.

Output
Energy of formation from the pure elements = -0.9316 eV/atom
Mass density = 11.49 g/cm³
Crystal system = tetragonal
Fermi-level density of states = 8.83 states/eV per cell
E_tot = -8.46 eV/atom
SG = No. 127

Unit cell a=7.1272 b=7.1272 c=3.7466 alpha=90.00 beta=90.00 gamma=90.00
Positions (direct):
Hf 0.0000 0.0000 0.0000
Hf 0.5000 0.5000 0.0000
Sc 0.1635 0.3365 0.5000
Sc 0.3365 0.8365 0.5000
Sc 0.6635 0.1635 0.5000
Sc 0.8365 0.6635 0.5000
Pt 0.1385 0.6385 0.0000
Pt 0.3615 0.1385 0.0000
Pt 0.6385 0.8615 0.0000
Pt 0.8615 0.3615 0.0000

***

First-principles (GGA-PBEsol) data for a geometry-optimized HfSiPt structure, as listed in Alexandria.

Output
Mass density = 14.15 g/cm³
Crystal system = orthorhombic
E_form (uncorrected) = -1176 meV/atom
Fermi-level density of states = 1.56 states/eV per cell
E_tot = -8.91 eV/atom
SG = No. 62

Unit cell a=6.5143 b=3.8646 c=7.4900 alpha=90.00 beta=90.00 gamma=90.00
Positions (direct):
Hf 0.0258 0.2500 0.1772
Hf 0.4742 0.7500 0.6772
Hf 0.5258 0.2500 0.3228
Hf 0.9742 0.7500 0.8228
Si 0.2393 0.7500 0.3770
Si 0.2607 0.2500 0.8770
Si 0.7393 0.7500 0.1230
Si 0.7607 0.2500 0.6230
Pt 0.1451 0.2500 0.5647
Pt 0.3549 0.7500 0.0647
Pt 0.6451 0.2500 0.9353
Pt 0.8549 0.7500 0.4353

***

First-principles (GGA-PBEsol) data for a geometry-optimized Hf2Si2Pt structure, as listed in Alexandria.

Output
Mass density = 12.58 g/cm³
Crystal system = tetragonal
E_form (uncorrected) = -1021 meV/atom
Fermi-level density of states = 3.65 states/eV per cell
E_tot = -8.91 eV/atom
SG = No. 127

Unit cell a=6.3136 b=6.3136 c=4.0290 alpha=90.00 beta=90.00 gamma=90.00
Positions (direct):
Hf 0.1705 0.3295 0.0000
Hf 0.3295 0.8295 0.0000
Hf 0.6705 0.1705 0.0000
Hf 0.8295 0.6705 0.0000
Si 0.1305 0.6305 0.5000
Si 0.3695 0.1305 0.5000
Si 0.6305 0.8695 0.5000
Si 0.8695 0.3695 0.5000
Pt 0.0000 0.0000 0.5000
Pt 0.5000 0.5000 0.5000

***

First-principles (GGA-PBEsol) data for a geometry-optimized Hf2SiTcPt structure, as listed in Alexandria.

Output
Mass density = 11.68 g/cm³
Crystal system = tetragonal
E_form (uncorrected) = 335 meV/atom
Fermi-level density of states = 2.84 states/eV per cell
E_tot = -8.66 eV/atom
SG = No. 123

Unit cell a=4.7687 b=4.7687 c=4.2407 alpha=90.00 beta=90.00 gamma=90.00
Positions (direct):
Hf 0.0000 0.5000 0.0000
Hf 0.5000 0.0000 0.0000
Si 0.0000 0.0000 0.0000
Tc 0.0000 0.0000 0.5000
Pt 0.5000 0.5000 0.5000

***

First-principles (GGA-PBEsol) data for a geometry-optimized SrHf2Pt2 structure, as listed in Alexandria.

Output
Energy of formation from the pure elements = -0.8231 eV/atom
Mass density = 12.22 g/cm³
Crystal system = tetragonal
Fermi-level density of states = 4.91 states/eV per cell
E_tot = -8.18 eV/atom
SG = No. 139

Unit cell a=4.5877 b=4.5877 c=10.7805 alpha=90.00 beta=90.00 gamma=90.00
Positions (direct):
Sr 0.0000 0.0000 0.0000
Sr 0.5000 0.5000 0.5000
Hf 0.0000 0.5000 0.2500
Hf 0.0000 0.5000 0.7500
Hf 0.5000 0.0000 0.2500
Hf 0.5000 0.0000 0.7500
Pt 0.0000 0.0000 0.3752
Pt 0.0000 0.0000 0.6248
Pt 0.5000 0.5000 0.1248
Pt 0.5000 0.5000 0.8752

***

First-principles (GGA-PBEsol) data for a geometry-optimized SrHfPt2 structure, as listed in Alexandria.

Output
Energy of formation from the pure elements = -0.5651 eV/atom
Mass density = 13.65 g/cm³
Crystal system = cubic
Fermi-level density of states = 9.06 states/eV per cell
E_tot = -7.13 eV/atom
SG = No. 225

Unit cell a=6.8357 b=6.8357 c=6.8357 alpha=90.00 beta=90.00 gamma=90.00
Positions (direct):
Sr 0.0000 0.0000 0.0000
Sr 0.0000 0.5000 0.5000
Sr 0.5000 0.0000 0.5000
Sr 0.5000 0.5000 0.0000
Hf 0.0000 0.0000 0.5000
Hf 0.0000 0.5000 0.0000
Hf 0.5000 0.0000 0.0000
Hf 0.5000 0.5000 0.5000
Pt 0.2500 0.2500 0.2500
Pt 0.2500 0.2500 0.7500
Pt 0.2500 0.7500 0.2500
Pt 0.2500 0.7500 0.7500
Pt 0.7500 0.2500 0.2500
Pt 0.7500 0.2500 0.7500
Pt 0.7500 0.7500 0.2500
Pt 0.7500 0.7500 0.7500

***

First-principles (GGA-PBEsol) data for a geometry-optimized HfTa3Pt structure, as listed in Alexandria.

Output
Energy of formation from the pure elements = 2.0103 eV/atom
Mass density = 14.29 g/cm³
Crystal system = cubic
Fermi-level density of states = 7.02 states/eV per cell
E_tot = -9.01 eV/atom
SG = No. 221

Unit cell a=4.7400 b=4.7400 c=4.7400 alpha=90.00 beta=90.00 gamma=90.00
Positions (direct):
Hf 0.0000 0.0000 0.0000
Ta 0.0000 0.0000 0.5000
Ta 0.0000 0.5000 0.0000
Ta 0.5000 0.0000 0.0000
Pt 0.5000 0.5000 0.5000

***

First-principles (GGA-PBEsol) data for a geometry-optimized HfTcPt3 structure, as listed in Alexandria.

Output
Energy of formation from the pure elements = 1.3413 eV/atom
Mass density = 13.04 g/cm³
Crystal system = cubic
Fermi-level density of states = 3.24 states/eV per cell
E_tot = -7.19 eV/atom
SG = No. 221

Unit cell a=4.7880 b=4.7880 c=4.7880 alpha=90.00 beta=90.00 gamma=90.00
Positions (direct):
Hf 0.0000 0.0000 0.0000
Tc 0.5000 0.5000 0.5000
Pt 0.0000 0.0000 0.5000
Pt 0.0000 0.5000 0.0000
Pt 0.5000 0.0000 0.0000

***

First-principles (GGA-PBEsol) data for a geometry-optimized HfTe3Pt structure, as listed in Alexandria.

Output
Mass density = 8.15 g/cm³
Crystal system = cubic
E_form (uncorrected) = 675 meV/atom
Fermi-level density of states = 6.49 states/eV per cell
E_tot = -4.93 eV/atom
SG = No. 221

Unit cell a=5.3620 b=5.3620 c=5.3620 alpha=90.00 beta=90.00 gamma=90.00
Positions (direct):
Hf 0.0000 0.0000 0.0000
Te 0.0000 0.0000 0.5000
Te 0.0000 0.5000 0.0000
Te 0.5000 0.0000 0.0000
Pt 0.5000 0.5000 0.5000

***

First-principles (GGA-PBEsol) data for a geometry-optimized HfTePt3 structure, as listed in Alexandria.

Output
Mass density = 12.82 g/cm³
Crystal system = cubic
E_form (uncorrected) = 756 meV/atom
Fermi-level density of states = 3.14 states/eV per cell
E_tot = -6.23 eV/atom
SG = No. 221

Unit cell a=4.8694 b=4.8694 c=4.8694 alpha=90.00 beta=90.00 gamma=90.00
Positions (direct):
Hf 0.0000 0.0000 0.0000
Te 0.5000 0.5000 0.5000
Pt 0.0000 0.0000 0.5000
Pt 0.0000 0.5000 0.0000
Pt 0.5000 0.0000 0.0000

***

First-principles (GGA-PBEsol) data for a geometry-optimized HfTe2Pt structure, as listed in Alexandria.

Output
Mass density = 12.51 g/cm³
Crystal system = cubic
E_form (uncorrected) = -165 meV/atom
Fermi-level density of states = 9.94 states/eV per cell
E_tot = -6.29 eV/atom
SG = No. 225

Unit cell a=6.9371 b=6.9371 c=6.9371 alpha=90.00 beta=90.00 gamma=90.00
Positions (direct):
Hf 0.0000 0.0000 0.0000
Hf 0.0000 0.5000 0.5000
Hf 0.5000 0.0000 0.5000
Hf 0.5000 0.5000 0.0000
Te 0.2500 0.2500 0.2500
Te 0.2500 0.2500 0.7500
Te 0.2500 0.7500 0.2500
Te 0.2500 0.7500 0.7500
Te 0.7500 0.2500 0.2500
Te 0.7500 0.2500 0.7500
Te 0.7500 0.7500 0.2500
Te 0.7500 0.7500 0.7500
Pt 0.0000 0.0000 0.5000
Pt 0.0000 0.5000 0.0000
Pt 0.5000 0.0000 0.0000
Pt 0.5000 0.5000 0.5000

***

First-principles (GGA-PBEsol) data for a geometry-optimized HfTi3Pt structure, as listed in Alexandria.

Output
Energy of formation from the pure elements = 1.2239 eV/atom
Mass density = 8.66 g/cm³
Crystal system = cubic
Fermi-level density of states = 8.68 states/eV per cell
E_tot = -7.26 eV/atom
SG = No. 221

Unit cell a=4.6285 b=4.6285 c=4.6285 alpha=90.00 beta=90.00 gamma=90.00
Positions (direct):
Hf 0.0000 0.0000 0.0000
Ti 0.0000 0.0000 0.5000
Ti 0.0000 0.5000 0.0000
Ti 0.5000 0.0000 0.0000
Pt 0.5000 0.5000 0.5000

***

First-principles (GGA-PBEsol) data for a geometry-optimized Y3HfPt structure, as listed in Alexandria.

Output
Energy of formation from the pure elements = 0.0641 eV/atom
Mass density = 7.09 g/cm³
Crystal system = cubic
Fermi-level density of states = 7.88 states/eV per cell
E_tot = -7.52 eV/atom
SG = No. 221

Unit cell a=5.3130 b=5.3130 c=5.3130 alpha=90.00 beta=90.00 gamma=90.00
Positions (direct):
Y 0.0000 0.0000 0.5000
Y 0.0000 0.5000 0.0000
Y 0.5000 0.0000 0.0000
Hf 0.5000 0.5000 0.5000
Pt 0.0000 0.0000 0.0000

***

First-principles (GGA-PBEsol) data for a geometry-optimized HfZnPt3 structure, as listed in Alexandria.

Output
Energy of formation from the pure elements = 0.8943 eV/atom
Mass density = 12.11 g/cm³
Crystal system = cubic
Fermi-level density of states = 2.82 states/eV per cell
E_tot = -5.70 eV/atom
SG = No. 221

Unit cell a=4.8448 b=4.8448 c=4.8448 alpha=90.00 beta=90.00 gamma=90.00
Positions (direct):
Hf 0.0000 0.0000 0.0000
Zn 0.5000 0.5000 0.5000
Pt 0.0000 0.0000 0.5000
Pt 0.0000 0.5000 0.0000
Pt 0.5000 0.0000 0.0000